[1]
A relaxed structure of PuP2Cl8. Source: Alexandria, functional PBE.

a b c (Å): 9.8747 7.2060 8.5770
angles (deg): 73.42 59.44 51.40
Closest atoms and distances in Å follow each position.
Element x y z (fractional)
Pu  0.0000  0.0000  0.0000  4 Cl 2.52-2.53
P  0.5171  0.1017  0.0633  2 Cl 2.03-2.16
P  0.4829  0.8983  0.9367  2 Cl 2.03-2.16
Cl  0.9258  0.2985  0.7623  1 Pu 2.52
Cl  0.1769  0.1776  0.0370  1 P 2.16
Cl  0.6782  0.3022  0.2415  1 Pu 2.53
Cl  0.3218  0.6978  0.7585  1 Pu 2.53
Cl  0.8231  0.8224  0.9630  1 P 2.16
Cl  0.0742  0.7015  0.2377  1 Pu 2.52
Cl  0.4145  0.0032  0.3209  1 P 2.03
Cl  0.5855  0.9968  0.6791  1 P 2.03

- Density: 2.39 g cm⁻³
- D(E_F): 0.683 states/eV per atom
- Final energy: -4.62 eV per atom
- Formation energy from raw total energies: -0.990 eV/atom

[2]
A relaxed structure of Pu5P4Cl. Source: Alexandria, functional PBE.

a b c (Å): 4.0179 4.0179 16.3649
angles (deg): 82.95 82.95 60.00
Closest atoms and distances in Å follow each position.
Element x y z (fractional)
Pu  0.3994  0.3994  0.8018  6 P 2.82-2.84
Pu  0.0000  0.0000  0.0000  6 P 2.82
Pu  0.6006  0.6006  0.1982  6 P 2.82-2.84
Pu  0.7978  0.7978  0.6067  3 P 2.77, 3 Cl 2.89
Pu  0.2022  0.2022  0.3933  3 P 2.77, 3 Cl 2.89
P  0.9002  0.9002  0.2995  6 Pu 2.77-2.84
P  0.3002  0.3002  0.0994  6 Pu 2.82
P  0.6998  0.6998  0.9006  6 Pu 2.82
P  0.0998  0.0998  0.7005  6 Pu 2.77-2.84
Cl  0.5000  0.5000  0.5000  6 Pu 2.89

- Density: 10.11 g cm⁻³
- D(E_F): 4.404 states/eV per atom
- Final energy: -10.68 eV per atom
- Formation energy from raw total energies: -1.164 eV/atom

[3]
A relaxed structure of Pu3P2Cl. Source: Alexandria, functional PBE.

a b c (Å): 3.9778 3.9778 20.4237
angles (deg): 90.00 90.00 120.00
Closest atoms and distances in Å follow each position.
Element x y z (fractional)
Pu  0.0000  0.0000  0.0000  6 P 2.83
Pu  0.3333  0.6667  0.1555  3 P 2.75, 3 Cl 3.00
Pu  0.3333  0.6667  0.3445  3 P 2.75, 3 Cl 3.00
Pu  0.0000  0.0000  0.5000  6 P 2.83
Pu  0.6667  0.3333  0.6555  3 P 2.75, 3 Cl 3.00
Pu  0.6667  0.3333  0.8445  3 P 2.75, 3 Cl 3.00
P  0.3333  0.6667  0.9189  6 Pu 2.75-2.83
P  0.6667  0.3333  0.0811  6 Pu 2.75-2.83
P  0.6667  0.3333  0.4189  6 Pu 2.75-2.83
P  0.3333  0.6667  0.5811  6 Pu 2.75-2.83
Cl  0.0000  0.0000  0.2500  6 Pu 3.00
Cl  0.0000  0.0000  0.7500  6 Pu 3.00

- Density: 9.84 g cm⁻³
- D(E_F): 4.030 states/eV per atom
- Final energy: -10.46 eV per atom
- Formation energy from raw total energies: -1.184 eV/atom

[4]
A relaxed structure of Pu4PCl5. Source: Alexandria, functional PBE.

a b c (Å): 3.6148 9.5400 8.4390
angles (deg): 105.90 102.37 90.00
Closest atoms and distances in Å follow each position.
Element x y z (fractional)
Pu  0.1431  0.0724  0.2863  2 Cl 2.66-2.95, 2 P 2.90
Pu  0.0134  0.7461  0.0267  3 Cl 2.71-2.92
Pu  0.8569  0.9276  0.7137  2 Cl 2.66-2.95, 2 P 2.90
Pu  0.9866  0.2539  0.9733  3 Cl 2.71-2.92
P  0.5000  0.0000  0.0000  8 Pu 2.90-3.08
Cl  0.8424  0.6423  0.6847  2 Pu 2.66-2.71
Cl  0.6706  0.8376  0.3411  5 Pu 2.95-3.08
Cl  0.3294  0.1624  0.6589  5 Pu 2.95-3.08
Cl  0.5000  0.5000  0.0000  4 Pu 2.92
Cl  0.1576  0.3577  0.3153  2 Pu 2.66-2.71

- Density: 7.21 g cm⁻³
- Relative energy among the computed polymorphs: 0.152 eV per atom
- D(E_F): 3.040 states/eV per atom
- Final energy: -8.62 eV per atom
- Formation energy from raw total energies: -1.421 eV/atom

[5]
A relaxed structure of Pu2PCl. Source: Alexandria, functional PBE.

a b c (Å): 3.4764 3.4764 7.2239
angles (deg): 90.00 90.00 90.00
Closest atoms and distances in Å follow each position.
Element x y z (fractional)
P  0.5000  0.5000  0.0000  8 Pu 2.92
Cl  0.5000  0.5000  0.5000  8 Pu 3.20, 4 Cl 3.48
Pu  0.0000  0.0000  0.7826  4 P 2.92, 1 Pu 3.14, 4 Cl 3.20
Pu  0.0000  0.0000  0.2174  4 P 2.92, 1 Pu 3.14, 4 Cl 3.20

- Density: 10.55 g cm⁻³
- D(E_F): 2.980 states/eV per atom
- Final energy: -10.07 eV per atom
- Formation energy from raw total energies: -1.094 eV/atom

[6]
A relaxed structure of Pu4PS2Cl. Source: Alexandria, functional PBE.

a b c (Å): 3.9724 6.9159 6.8828
angles (deg): 70.20 90.00 90.00
Closest atoms and distances in Å follow each position.
Element x y z (fractional)
Pu  0.0000  0.7563  0.7414  3 S 2.77-2.84, 1 P 2.81, 2 Cl 2.85
Pu  0.0000  0.2437  0.2586  3 S 2.77-2.84, 1 P 2.81, 2 Cl 2.85
Pu  0.5000  0.7534  0.2527  3 S 2.79-2.81, 2 P 2.81, 1 Cl 2.86
Pu  0.5000  0.2466  0.7473  3 S 2.79-2.81, 2 P 2.81, 1 Cl 2.86
P  0.0000  0.5000  0.5000  6 Pu 2.81
S  0.0000  0.0000  0.0000  6 Pu 2.81-2.84
S  0.5000  0.0000  0.5000  6 Pu 2.77-2.79
Cl  0.5000  0.5000  0.0000  6 Pu 2.85-2.86

- Density: 10.33 g cm⁻³
- D(E_F): 4.441 states/eV per atom
- Final energy: -10.57 eV per atom
- Formation energy from raw total energies: -1.466 eV/atom

[7]
A relaxed structure of PuPS4Cl. Source: Alexandria, functional PBE.

a b c (Å): 6.9144 6.9144 7.7537
angles (deg): 78.73 78.73 77.37
Closest atoms and distances in Å follow each position.
Element x y z (fractional)
Pu  0.2120  0.2120  0.8778  2 Cl 2.74-2.76, 6 S 2.76-2.88
Pu  0.7880  0.7880  0.1222  2 Cl 2.74-2.76, 6 S 2.76-2.88
P  0.6442  0.6442  0.7236  4 S 2.01-2.10
P  0.3558  0.3558  0.2764  4 S 2.01-2.10
S  0.2169  0.2169  0.5045  1 P 2.01
S  0.7831  0.7831  0.4955  1 P 2.01
S  0.1536  0.5068  0.1017  1 P 2.10
S  0.5356  0.5356  0.3162  1 P 2.04
S  0.4932  0.8464  0.8983  1 P 2.10
S  0.5068  0.1536  0.1017  1 P 2.10
S  0.4644  0.4644  0.6838  1 P 2.04
S  0.8464  0.4932  0.8983  1 P 2.10
Cl  0.0263  0.0263  0.1928  2 Pu 2.74-2.76, 1 S 3.05
Cl  0.9737  0.9737  0.8072  2 Pu 2.74-2.76, 1 S 3.05

- Density: 4.16 g cm⁻³
- D(E_F): 1.458 states/eV per atom
- Final energy: -6.17 eV per atom
- Formation energy from raw total energies: -0.726 eV/atom

[8]
A relaxed structure of Pu4PSe2Cl. Source: Alexandria, functional PBE.

a b c (Å): 4.0940 7.0872 7.0528
angles (deg): 70.49 90.00 90.00
Closest atoms and distances in Å follow each position.
Element x y z (fractional)
Pu  0.0000  0.7380  0.7600  2 P 2.83, 1 Cl 2.88, 3 Se 2.90-2.95
Pu  0.0000  0.2620  0.2400  2 P 2.83, 1 Cl 2.88, 3 Se 2.90-2.95
Pu  0.5000  0.7419  0.2462  1 P 2.82, 2 Cl 2.88, 3 Se 2.90-2.96
Pu  0.5000  0.2581  0.7538  1 P 2.82, 2 Cl 2.88, 3 Se 2.90-2.96
P  0.5000  0.5000  0.0000  6 Pu 2.82-2.83
Se  0.0000  0.0000  0.0000  6 Pu 2.90
Se  0.5000  0.0000  0.5000  6 Pu 2.95-2.96
Cl  0.0000  0.5000  0.5000  6 Pu 2.88

- Density: 10.33 g cm⁻³
- D(E_F): 4.359 states/eV per atom
- Final energy: -10.31 eV per atom
- Formation energy from raw total energies: -1.371 eV/atom

[9]
A relaxed structure of RbP2Cl8. Source: Alexandria, functional PBE.

a b c (Å): 10.3107 6.9856 6.9856
angles (deg): 66.33 76.87 76.87
Closest atoms and distances in Å follow each position.
Element x y z (fractional)
Rb  0.0000  0.0000  0.0000  4 Cl 3.32
P  0.7700  0.7149  0.7149  2 Cl 2.04-2.06
P  0.2300  0.2851  0.2851  2 Cl 2.04-2.06
Cl  0.1988  0.5643  0.9678  1 P 2.32
Cl  0.8012  0.0322  0.4357  1 P 2.32
Cl  0.5653  0.7801  0.7801  1 P 2.04
Cl  0.4347  0.2199  0.2199  1 P 2.04
Cl  0.1988  0.9678  0.5643  1 P 2.32
Cl  0.8012  0.4357  0.0322  1 P 2.32
Cl  0.7955  0.5337  0.5337  1 P 2.06
Cl  0.2045  0.4663  0.4663  1 P 2.06

- Density: 1.61 g cm⁻³
- D(E_F): 0.291 states/eV per atom
- Final energy: -3.19 eV per atom
- Formation energy from raw total energies: -0.779 eV/atom

[10]
A relaxed structure of Rb2PCl7. Source: Alexandria, functional PBE.

a b c (Å): 7.8708 7.8708 7.1868
angles (deg): 56.80 56.80 90.00
Closest atoms and distances in Å follow each position.
Element x y z (fractional)
P  0.5000  0.5000  0.0000  6 Cl 2.10-2.29
Rb  0.7500  0.2500  0.5000  12 Cl 3.63-3.94
Rb  0.2500  0.7500  0.5000  12 Cl 3.63-3.94
Cl  0.0000  0.0000  0.0000  2 Cl 2.45
Cl  0.2690  0.2690  0.4620  1 P 2.10
Cl  0.7310  0.7310  0.5380  1 P 2.10
Cl  0.2941  0.2941  0.0000  1 P 2.29
Cl  0.7059  0.7059  0.0000  1 P 2.29
Cl  0.7059  0.2941  0.0000  1 P 2.29
Cl  0.2941  0.7059  0.0000  1 P 2.29

- Density: 2.65 g cm⁻³
- D(E_F): 0.000 states/eV per atom
- Final energy: -3.03 eV per atom
- Formation energy from raw total energies: -1.005 eV/atom

[11]
A relaxed structure of RbPCl4. Source: Alexandria, functional PBE.

a b c (Å): 13.1198 8.6191 6.3221
angles (deg): 132.97 78.87 90.00
Closest atoms and distances in Å follow each position.
Element x y z (fractional)
Rb  0.0557  0.2222  0.4444  5 Cl 3.24-3.57
Rb  0.9443  0.7778  0.5556  5 Cl 3.24-3.57
P  0.2642  0.4463  0.8927  3 Cl 2.07
P  0.7358  0.5537  0.1073  3 Cl 2.07
Cl  0.7738  0.3220  0.6440  1 P 2.07
Cl  0.6314  0.7847  0.1999  1 P 2.07
Cl  0.0000  0.7425  0.0000  4 Rb 3.24
Cl  0.3686  0.5848  0.8001  1 P 2.07
Cl  0.2262  0.6780  0.3560  1 P 2.07
Cl  0.3686  0.2153  0.8001  1 P 2.07
Cl  0.0000  0.2575  0.0000  4 Rb 3.24
Cl  0.6314  0.4152  0.1999  1 P 2.07

- Density: 1.70 g cm⁻³
- Relative energy among the computed polymorphs: 0.000 eV per atom
- D(E_F): 0.000 states/eV per atom
- Final energy: -3.36 eV per atom
- Formation energy from raw total energies: -1.071 eV/atom

[12]
A relaxed structure of RbP2Cl2. Source: Alexandria, functional PBE.

a b c (Å): 9.2390 9.2390 3.1166
angles (deg): 90.00 90.00 90.00
Closest atoms and distances in Å follow each position.
Element x y z (fractional)
P  0.2447  0.7447  0.5000  2 Cl 2.35
P  0.7447  0.7553  0.5000  2 Cl 2.35
P  0.7553  0.2553  0.5000  2 Cl 2.35
P  0.2553  0.2447  0.5000  2 Cl 2.35
Rb  0.0000  0.0000  0.0000  2 Rb 3.12
Rb  0.5000  0.5000  0.0000  2 Rb 3.12
Cl  0.3798  0.8798  0.0000  2 P 2.35
Cl  0.8798  0.6202  0.0000  2 P 2.35
Cl  0.6202  0.1202  0.0000  2 P 2.35
Cl  0.1202  0.3798  0.0000  2 P 2.35

- Density: 2.73 g cm⁻³
- Relative energy among the computed polymorphs: 0.576 eV per atom
- D(E_F): 0.507 states/eV per atom
- Final energy: -2.85 eV per atom
- Formation energy from raw total energies: 0.251 eV/atom